! Fe3P2O8 | Alexandria | GGA+U | optimized geometry; values from VASP
! V, Å³ per cell: 630
! Magnetization, μB/cell: 48.00
! ρ, g cm⁻³: 3.767
! SG: P2_1/c, No. 14
! VASP energy, eV/atom: -7.144
&SYSTEM
  ibrav = 0, nat = 52, ntyp = 3
/
ATOMIC_SPECIES
Fe 55.84 Fe.upf
P 30.97 P.upf
O 16.00 O.upf
ATOMIC_POSITIONS crystal
Fe 0.078 0.118 0.121
Fe 0.078 0.382 0.621
Fe 0.278 0.083 0.664
Fe 0.278 0.417 0.164
Fe 0.359 0.694 0.616
Fe 0.359 0.806 0.116
Fe 0.641 0.194 0.884
Fe 0.641 0.306 0.384
Fe 0.722 0.583 0.836
Fe 0.722 0.917 0.336
Fe 0.922 0.618 0.379
Fe 0.922 0.882 0.879
P 0.093 0.634 0.886
P 0.093 0.866 0.386
P 0.399 0.087 0.192
P 0.399 0.413 0.692
P 0.601 0.587 0.308
P 0.601 0.913 0.808
P 0.907 0.134 0.614
P 0.907 0.366 0.114
O 0.057 0.204 0.608
O 0.057 0.296 0.108
O 0.072 0.562 0.671
O 0.072 0.938 0.171
O 0.135 0.559 0.090
O 0.135 0.941 0.590
O 0.222 0.724 0.869
O 0.222 0.776 0.369
O 0.278 0.087 0.981
O 0.278 0.413 0.481
O 0.303 0.125 0.365
O 0.303 0.375 0.865
O 0.468 0.539 0.737
O 0.468 0.961 0.237
O 0.477 0.679 0.325
O 0.477 0.821 0.825
O 0.523 0.179 0.175
O 0.523 0.321 0.675
O 0.532 0.039 0.763
O 0.532 0.461 0.263
O 0.697 0.625 0.135
O 0.697 0.875 0.635
O 0.722 0.587 0.519
O 0.722 0.913 0.019
O 0.778 0.224 0.631
O 0.778 0.276 0.131
O 0.865 0.059 0.410
O 0.865 0.441 0.910
O 0.928 0.062 0.829
O 0.928 0.438 0.329
O 0.943 0.704 0.892
O 0.943 0.796 0.392
CELL_PARAMETERS angstrom
9.018 0.000 0.000
0.000 11.286 0.000
-1.088 0.000 6.193